i.
Material: Tm2Sc3
Method: DFT, PBE
State: optimized geometry Values from VASP.

Summary:
SG: No. 43
N(E_F) (states/eV per atom): 1.6202
Total magnetization (μB per formula unit): 0.0

Geometry as Quantum ESPRESSO input:
```
&SYSTEM
  ibrav = 0, nat = 10, ntyp = 2
/
ATOMIC_SPECIES
Tm 168.93 Tm.upf
Sc 44.96 Sc.upf
ATOMIC_POSITIONS crystal
Tm 0.2798 0.7202 0.3221
Tm 0.5721 0.9279 0.5298
Tm 0.7202 0.2798 0.6779
Tm 0.9279 0.5721 0.9702
Sc 0.0210 0.7512 0.1761
Sc 0.0739 0.1983 0.2290
Sc 0.1983 0.0739 0.4988
Sc 0.3303 0.3303 0.6697
Sc 0.5803 0.5803 0.9197
Sc 0.7512 0.0210 0.0517
CELL_PARAMETERS angstrom
0.0000 14.7493 1.6318
5.5424 0.0000 1.6318
5.5424 14.7493 0.0000
```

---

ii.
Material: Tm2Sc3
Method: DFT, PBE
State: optimized geometry Values from VASP.

Summary:
SG: No. 15
N(E_F) (states/eV per atom): 1.8091
Total magnetization (μB per formula unit): 0.0

Geometry as Quantum ESPRESSO input:
```
&SYSTEM
  ibrav = 0, nat = 10, ntyp = 2
/
ATOMIC_SPECIES
Tm 168.93 Tm.upf
Sc 44.96 Sc.upf
ATOMIC_POSITIONS crystal
Tm 0.0723 0.7308 0.5504
Tm 0.2692 0.9277 0.9496
Tm 0.7308 0.0723 0.0504
Tm 0.9277 0.2692 0.4496
Sc 0.1273 0.4635 0.8495
Sc 0.3362 0.6638 0.2500
Sc 0.4635 0.1273 0.3495
Sc 0.5365 0.8727 0.6505
Sc 0.6638 0.3362 0.7500
Sc 0.8727 0.5365 0.1505
CELL_PARAMETERS angstrom
5.5790 -2.9470 0.0000
5.5790 2.9470 0.0000
-2.9634 0.0000 8.1250
```

---

Name the most stable of them. ii.

---

i.
Material: Y2Tm5Sc4
Method: DFT, PBE
State: optimized geometry Values from VASP.

Summary:
SG: No. 10
N(E_F) (states/eV per atom): 1.7051
Total magnetization (μB per formula unit): 0.0

Geometry as Quantum ESPRESSO input:
```
&SYSTEM
  ibrav = 0, nat = 11, ntyp = 3
/
ATOMIC_SPECIES
Y 88.91 Y.upf
Tm 168.93 Tm.upf
Sc 44.96 Sc.upf
ATOMIC_POSITIONS crystal
Y 0.0601 0.0000 0.1382
Y 0.9399 0.0000 0.8618
Tm 0.1559 0.0000 0.6374
Tm 0.4517 0.0000 0.1965
Tm 0.5000 0.0000 0.5000
Tm 0.5483 0.0000 0.8035
Tm 0.8441 0.0000 0.3626
Sc 0.1920 0.5000 0.3787
Sc 0.2844 0.5000 0.9477
Sc 0.7156 0.5000 0.0523
Sc 0.8080 0.5000 0.6213
CELL_PARAMETERS angstrom
8.3926 0.0000 0.0000
0.0000 3.4443 0.0000
-1.4395 0.0000 11.0245
```

---

ii.
Material: Y2Tm5Sc4
Method: DFT, PBE
State: optimized geometry Values from VASP.

Summary:
SG: No. 12
N(E_F) (states/eV per atom): 1.6027
Total magnetization (μB per formula unit): 0.0

Geometry as Quantum ESPRESSO input:
```
&SYSTEM
  ibrav = 0, nat = 11, ntyp = 3
/
ATOMIC_SPECIES
Y 88.91 Y.upf
Tm 168.93 Tm.upf
Sc 44.96 Sc.upf
ATOMIC_POSITIONS crystal
Y 0.1696 0.1696 0.2339
Y 0.8304 0.8304 0.7661
Tm 0.2500 0.7187 0.3270
Tm 0.2813 0.7500 0.6730
Tm 0.5000 0.5000 0.0000
Tm 0.7187 0.2500 0.3270
Tm 0.7500 0.2813 0.6730
Sc 0.2239 0.2239 0.9663
Sc 0.2339 0.2339 0.6186
Sc 0.7661 0.7661 0.3814
Sc 0.7761 0.7761 0.0337
CELL_PARAMETERS angstrom
5.9206 -3.2393 0.0000
5.9206 3.2393 0.0000
-5.7528 0.0000 8.2758
```

---

Name the most stable of them. i.

---

i.
Material: YTm12Sc6
Method: DFT, PBE
State: optimized geometry Values from VASP.

Summary:
SG: No. 166
N(E_F) (states/eV per atom): 1.4067
Total magnetization (μB per formula unit): 0.0

Geometry as Quantum ESPRESSO input:
```
&SYSTEM
  ibrav = 0, nat = 19, ntyp = 3
/
ATOMIC_SPECIES
Y 88.91 Y.upf
Tm 168.93 Tm.upf
Sc 44.96 Sc.upf
ATOMIC_POSITIONS crystal
Y 0.0000 0.0000 0.0000
Tm 0.1124 0.5000 0.8876
Tm 0.1124 0.8876 0.5000
Tm 0.1449 0.3701 0.3701
Tm 0.3701 0.1449 0.3701
Tm 0.3701 0.3701 0.1449
Tm 0.5000 0.1124 0.8876
Tm 0.5000 0.8876 0.1124
Tm 0.6299 0.6299 0.8551
Tm 0.6299 0.8551 0.6299
Tm 0.8551 0.6299 0.6299
Tm 0.8876 0.1124 0.5000
Tm 0.8876 0.5000 0.1124
Sc 0.2763 0.6894 0.6894
Sc 0.3106 0.3106 0.7237
Sc 0.3106 0.7237 0.3106
Sc 0.6894 0.2763 0.6894
Sc 0.6894 0.6894 0.2763
Sc 0.7237 0.3106 0.3106
CELL_PARAMETERS angstrom
7.2146 4.1653 3.2600
-7.2146 4.1653 3.2600
0.0000 -8.3307 3.2600
```

---

ii.
Material: YTm12Sc6
Method: DFT, PBE
State: optimized geometry Values from VASP.

Summary:
SG: No. 166
N(E_F) (states/eV per atom): 1.1760
Total magnetization (μB per formula unit): 0.0

Geometry as Quantum ESPRESSO input:
```
&SYSTEM
  ibrav = 0, nat = 19, ntyp = 3
/
ATOMIC_SPECIES
Y 88.91 Y.upf
Tm 168.93 Tm.upf
Sc 44.96 Sc.upf
ATOMIC_POSITIONS crystal
Y 0.0000 0.0000 0.0000
Tm 0.1231 0.5000 0.8769
Tm 0.1231 0.8769 0.5000
Tm 0.1902 0.4718 0.4718
Tm 0.4718 0.1902 0.4718
Tm 0.4718 0.4718 0.1902
Tm 0.5000 0.1231 0.8769
Tm 0.5000 0.8769 0.1231
Tm 0.5282 0.5282 0.8098
Tm 0.5282 0.8098 0.5282
Tm 0.8098 0.5282 0.5282
Tm 0.8769 0.1231 0.5000
Tm 0.8769 0.5000 0.1231
Sc 0.1927 0.1927 0.7361
Sc 0.1927 0.7361 0.1927
Sc 0.2639 0.8073 0.8073
Sc 0.7361 0.1927 0.1927
Sc 0.8073 0.2639 0.8073
Sc 0.8073 0.8073 0.2639
CELL_PARAMETERS angstrom
6.3484 3.6652 4.1939
-6.3484 3.6652 4.1939
0.0000 -7.3305 4.1939
```

---

Name the most stable of them. ii.

---

i.
Material: Y2TmSc
Method: DFT, PBE
State: optimized geometry Values from VASP.

Summary:
SG: No. 225
N(E_F) (states/eV per atom): 2.1908
Total magnetization (μB per formula unit): 0.0

Geometry as Quantum ESPRESSO input:
```
&SYSTEM
  ibrav = 0, nat = 4, ntyp = 3
/
ATOMIC_SPECIES
Y 88.91 Y.upf
Tm 168.93 Tm.upf
Sc 44.96 Sc.upf
ATOMIC_POSITIONS crystal
Y 0.2500 0.2500 0.2500
Y 0.7500 0.7500 0.7500
Tm 0.0000 0.0000 0.0000
Sc 0.5000 0.5000 0.5000
CELL_PARAMETERS angstrom
0.0000 3.9157 3.9157
3.9157 0.0000 3.9157
3.9157 3.9157 0.0000
```

---

ii.
Material: Y2TmSc
Method: DFT, PBE
State: optimized geometry Values from VASP.

Summary:
SG: No. 160
N(E_F) (states/eV per atom): 1.7520
Total magnetization (μB per formula unit): 0.0

Geometry as Quantum ESPRESSO input:
```
&SYSTEM
  ibrav = 0, nat = 4, ntyp = 3
/
ATOMIC_SPECIES
Y 88.91 Y.upf
Tm 168.93 Tm.upf
Sc 44.96 Sc.upf
ATOMIC_POSITIONS crystal
Y 0.0000 0.0000 0.0000
Y 0.1609 0.1609 0.1609
Tm 0.5807 0.5807 0.5807
Sc 0.7467 0.7467 0.7467
CELL_PARAMETERS angstrom
1.7541 1.0127 11.1724
-1.7541 1.0127 11.1724
0.0000 -2.0255 11.1724
```

---

iii.
Material: Y2TmSc
Method: DFT, PBE
State: optimized geometry Values from VASP.

Summary:
SG: No. 2
N(E_F) (states/eV per atom): 1.7271
Total magnetization (μB per formula unit): 0.0

Geometry as Quantum ESPRESSO input:
```
&SYSTEM
  ibrav = 0, nat = 8, ntyp = 3
/
ATOMIC_SPECIES
Y 88.91 Y.upf
Tm 168.93 Tm.upf
Sc 44.96 Sc.upf
ATOMIC_POSITIONS crystal
Y 0.2494 0.3765 0.3732
Y 0.2500 0.8729 0.8766
Y 0.7500 0.1271 0.1234
Y 0.7506 0.6235 0.6268
Tm 0.2537 0.8740 0.3738
Tm 0.7463 0.1260 0.6262
Sc 0.2462 0.3759 0.8762
Sc 0.7538 0.6241 0.1238
CELL_PARAMETERS angstrom
5.9958 0.0000 0.0000
1.9584 6.6590 0.0000
1.9415 3.0114 5.9462
```

---

Name the most stable of them. ii.